Record 1
Entry from the Alexandria database: an optimized crystal structure of CaCu (GGA-PBEsol).

Cell lengths 4.197, 5.692, 7.587 Å; angles 90.00, 90.00, 90.00 degrees
Atoms (fractional coordinates):
Ca1 0.750 0.625 0.821
Ca2 0.250 0.125 0.679
Ca3 0.250 0.375 0.179
Ca4 0.750 0.875 0.321
Cu1 0.750 0.103 0.971
Cu2 0.250 0.603 0.529
Cu3 0.250 0.897 0.029
Cu4 0.750 0.397 0.471

Properties
SG: No. 62
Theoretical density in g cm⁻³: 3.8

Record 2
Entry from the Alexandria database: an optimized crystal structure of Ca5Cu3 (GGA-PBEsol).

Cell lengths 6.405, 8.645, 8.645 Å; angles 120.00, 90.00, 90.00 degrees
Atoms (fractional coordinates):
Ca1 0.000 0.667 0.333
Ca2 0.500 0.333 0.667
Ca3 0.000 0.333 0.667
Ca4 0.500 0.667 0.333
Ca5 0.750 0.743 0.743
Ca6 0.250 0.257 0.257
Ca7 0.750 0.000 0.257
Ca8 0.750 0.257 0.000
Ca9 0.250 0.743 0.000
Ca10 0.250 0.000 0.743
Cu1 0.750 0.394 0.394
Cu2 0.250 0.606 0.606
Cu3 0.750 0.000 0.606
Cu4 0.750 0.606 0.000
Cu5 0.250 0.394 0.000
Cu6 0.250 0.000 0.394

Properties
SG: No. 193
Theoretical density in g cm⁻³: 3.1

no.,DFT total energy (eV/atom)
1,-3.3349
2,-2.9653